Record 1
Density functional theory data (GGA-PBE) for a relaxed TaNbTe2I crystal.

Summary:
Its symmetry is P4/mmm. For the volume, the calculation gives 29.9 Å³/atom. Its density of states at the Fermi level is 7.064 states/eV/f.u. The formation energy without anion corrections comes out at 832 meV/atom.

Lattice parameters (Å, degrees): 5.3273 5.3273 5.2597 90.00 90.00 90.00
Last column: nearest neighbours and their distance in Å.
Positions (direct):
Ta1 0.0000 0.0000 0.0000  2 Nb 2.63
Nb1 0.0000 0.0000 0.5000  2 Ta 2.63, 4 Te 2.66
Te1 0.0000 0.5000 0.5000  2 Nb 2.66
Te2 0.5000 0.0000 0.5000  2 Nb 2.66
I1 0.5000 0.5000 0.0000  8 Te 3.74, 4 Ta 3.77

***

Record 2
Density functional theory data (GGA-PBE) for a relaxed Re2HgOs crystal.

Summary:
Its symmetry is P4mm. For the volume, the calculation gives 16.3 Å³/atom. Its density of states at the Fermi level is 3.485 states/eV/f.u. As for the formation energy: 0.462 eV per atom.

Lattice parameters (Å, degrees): 2.8258 2.8258 8.1558 90.00 90.00 90.00
Last column: nearest neighbours and their distance in Å.
Positions (direct):
Re1 0.0000 0.0000 0.0000  4 Os 2.66, 8 Re 2.76-2.83
Re2 0.5000 0.5000 0.2336  8 Re 2.76-2.83, 4 Hg 3.01
Hg1 0.0000 0.0000 0.5103  4 Hg 2.83, 4 Os 3.00, 4 Re 3.01
Os1 0.5000 0.5000 0.7851  4 Re 2.66, 4 Os 2.83

***

Number 1: magnetic moment 0.00 μB per cell. Number 2: magnetic moment 0.00 μB per cell.